Record 1
! In2HgSb | the Alexandria database | SCAN | PBEsol geometry; values from VASP
&SYSTEM
  ibrav = 0, nat = 4, ntyp = 3
/
ATOMIC_SPECIES
In 114.82 In.upf
Hg 200.59 Hg.upf
Sb 121.76 Sb.upf
CELL_PARAMETERS angstrom
3.370 0.000 0.000
0.000 3.468 0.000
0.000 0.000 8.621
ATOMIC_POSITIONS angstrom
In 0.000 0.000 2.075
In 0.000 0.000 6.546
Hg 1.685 1.734 0.000
Sb 1.685 1.734 4.311
! Space group ... Pmmm, No. 47
! Formation energy (no corrections) ... 0.3 eV/f.u.
! Energy above the most stable polymorph in this dataset ... 38 meV/atom

***

Record 2
! HfTlMo2Ir | the Alexandria database | SCAN | PBEsol geometry; values from VASP
&SYSTEM
  ibrav = 0, nat = 5, ntyp = 4
/
ATOMIC_SPECIES
Hf 178.49 Hf.upf
Tl 204.38 Tl.upf
Mo 95.94 Mo.upf
Ir 192.22 Ir.upf
CELL_PARAMETERS angstrom
4.851 0.000 0.000
0.000 4.851 0.000
0.000 0.000 4.793
ATOMIC_POSITIONS angstrom
Hf 0.000 0.000 0.000
Tl 2.425 2.425 2.396
Mo 0.000 2.425 2.396
Mo 2.425 0.000 2.396
Ir 2.425 2.425 0.000
! Space group ... P4/mmm, No. 123
! E_form ... 2.273 eV per atom

***

Record 3
! Sr2MgHgS | the Alexandria database | SCAN | PBEsol geometry; values from VASP
&SYSTEM
  ibrav = 0, nat = 5, ntyp = 4
/
ATOMIC_SPECIES
Sr 87.62 Sr.upf
Mg 24.30 Mg.upf
Hg 200.59 Hg.upf
S 32.06 S.upf
CELL_PARAMETERS angstrom
6.323 0.000 0.000
0.000 6.323 0.000
0.000 0.000 4.591
ATOMIC_POSITIONS angstrom
Sr 0.000 3.162 0.000
Sr 3.162 0.000 0.000
Mg 0.000 0.000 0.000
Hg 3.162 3.162 2.296
S 0.000 0.000 2.296
! Space group ... P4/mmm, No. 123
! Formation energy (no corrections) ... -0.9 eV/f.u.

***

Record 4
! ScCu4Ru | the Alexandria database | SCAN | PBEsol geometry; values from VASP
&SYSTEM
  ibrav = 0, nat = 6, ntyp = 3
/
ATOMIC_SPECIES
Sc 44.96 Sc.upf
Cu 63.55 Cu.upf
Ru 101.07 Ru.upf
CELL_PARAMETERS angstrom
0.000 3.385 3.385
3.385 0.000 3.385
3.385 3.385 0.000
ATOMIC_POSITIONS angstrom
Sc 0.000 0.000 0.000
Cu 2.543 2.543 2.543
Cu 4.228 4.228 2.543
Cu 4.228 2.543 4.228
Cu 2.543 4.228 4.228
Ru 5.078 5.078 5.078
! Space group ... F-43m, No. 216
! E_form ... -0.124 eV per atom

***

Looking at mass density for the records above, in order, we have 9.1 11.3 3.9 8.6 Mg/m³.